(i)
4
Lattice="-1.7219 -4.0080 0.6542 -2.1934 -0.8770 3.7252 -4.3738 -0.5640 -0.0964" Properties=species:S:1:pos:R:3 comment="ZnCoAsAu, optimized geometry, DFT PBE" vol_a3_per_cell=61 m_tot_mub_per_cell=0.05 pbc="T T T"
Au -2.0723 -1.3623 1.0707
As 0.0000 0.0000 0.0000
Co -6.2168 -4.0868 3.2122
Zn -4.1445 -2.7245 2.1415

---

(ii)
4
Lattice="-3.0616 -2.3534 -2.1294 -3.7412 1.9274 -1.3172 -0.7274 0.6990 -4.2929" Properties=species:S:1:pos:R:3 comment="ZnCoAsAu, optimized geometry, DFT PBE" vol_a3_per_cell=61 m_tot_mub_per_cell=0.01 pbc="T T T"
As 0.0000 0.0000 0.0000
Zn -1.8825 0.0682 -1.9349
Au -3.7651 0.1365 -3.8698
Co -5.6476 0.2047 -5.8047

---

How far above the most stable structure does each one sit? In meV per atom: (i) 9; (ii) 0.

---

(i)
4
Lattice="-1.0427 -0.2491 5.1365 -4.9648 0.2238 1.6831 -2.2844 -4.2752 2.0090" Properties=species:S:1:pos:R:3 comment="CsLiAsAu, optimized geometry, DFT PBE" vol_a3_per_cell=102 pbc="T T T"
Cs 0.0000 0.0000 0.0000
Au -6.2189 -3.2254 6.6215
Li -2.0730 -1.0751 2.2072
As -4.1459 -2.1503 4.4143

---

(ii)
4
Lattice="0.0000 3.6928 3.6928 3.6928 0.0000 3.6928 3.6928 3.6928 0.0000" Properties=species:S:1:pos:R:3 comment="CsLiAsAu, optimized geometry, DFT PBE" vol_a3_per_cell=101 pbc="T T T"
Cs 1.8464 1.8464 1.8464
Li 3.6928 3.6928 3.6928
As 0.0000 0.0000 0.0000
Au 5.5391 5.5391 5.5391

---

How far above the most stable structure does each one sit? In meV per atom: (i) 0; (ii) 9.